This record from Alexandria describes crystalline Dy3Th5S12 at its relaxed geometry. The functional is PBE-GGA.

Cell and atoms, written as POSCAR:
```
Dy3Th5S12
1.0
-8.169 8.169 8.169
8.169 -8.169 8.169
8.169 8.169 -8.169
Dy Th S
12 20 48
Direct
0.125 0.250 0.375
0.125 0.375 0.750
0.250 0.375 0.125
0.250 0.875 0.625
0.375 0.125 0.250
0.375 0.750 0.125
0.625 0.250 0.875
0.625 0.875 0.750
0.750 0.125 0.375
0.750 0.625 0.875
0.875 0.625 0.250
0.875 0.750 0.625
0.000 0.000 0.000
0.000 0.000 0.500
0.000 0.500 0.000
0.000 0.500 0.500
0.125 0.750 0.875
0.125 0.875 0.250
0.250 0.125 0.875
0.250 0.625 0.375
0.375 0.250 0.625
0.375 0.625 0.750
0.500 0.000 0.000
0.500 0.000 0.500
0.500 0.500 0.000
0.500 0.500 0.500
0.625 0.375 0.250
0.625 0.750 0.375
0.750 0.375 0.625
0.750 0.875 0.125
0.875 0.125 0.750
0.875 0.250 0.125
0.056 0.229 0.133
0.056 0.327 0.923
0.077 0.633 0.404
0.077 0.944 0.673
0.096 0.729 0.673
0.096 0.867 0.423
0.133 0.056 0.229
0.133 0.577 0.904
0.173 0.229 0.596
0.173 0.444 0.577
0.229 0.133 0.056
0.229 0.596 0.173
0.271 0.327 0.904
0.271 0.444 0.367
0.327 0.904 0.271
0.327 0.923 0.056
0.367 0.271 0.444
0.367 0.596 0.923
0.404 0.077 0.633
0.404 0.827 0.771
0.423 0.096 0.867
0.423 0.827 0.556
0.444 0.367 0.271
0.444 0.577 0.173
0.556 0.423 0.827
0.556 0.633 0.729
0.577 0.173 0.444
0.577 0.904 0.133
0.596 0.173 0.229
0.596 0.923 0.367
0.633 0.404 0.077
0.633 0.729 0.556
0.673 0.077 0.944
0.673 0.096 0.729
0.729 0.556 0.633
0.729 0.673 0.096
0.771 0.404 0.827
0.771 0.867 0.944
0.827 0.556 0.423
0.827 0.771 0.404
0.867 0.423 0.096
0.867 0.944 0.771
0.904 0.133 0.577
0.904 0.271 0.327
0.923 0.056 0.327
0.923 0.367 0.596
0.944 0.673 0.077
0.944 0.771 0.867
```

***

This record from Alexandria describes crystalline DyTh5S6 at its relaxed geometry. The functional is PBE-GGA.

Cell and atoms, written as POSCAR:
```
DyTh5S6
1.0
3.490 -6.056 0.000
3.490 6.056 0.000
-2.336 0.000 6.528
Dy Th S
1 5 6
Direct
0.000 0.000 0.000
0.170 0.830 0.500
0.333 0.667 0.000
0.500 0.500 0.500
0.667 0.333 0.000
0.830 0.170 0.500
0.081 0.406 0.243
0.242 0.242 0.752
0.406 0.081 0.243
0.594 0.919 0.757
0.758 0.758 0.248
0.919 0.594 0.757
```

***

no.,formation energy without anion corrections (eV/atom),electronic total energy (eV per atom)
1,-1.55,-6.576
2,-1.86,-7.399